Record 1
## Ce4PuTc (PBE)

Data for crystalline Ce4PuTc at its relaxed geometry.

a b c (Å): 5.794 8.930 11.307
angles (deg): 90.00 90.00 87.55
Last column: magnetic moment on the atom in μB.
Element x y z (fractional)
Pu: 0.146 0.843 0.341  4.72
Pu: 0.354 0.657 0.841  4.72
Pu: 0.646 0.343 0.159  4.72
Pu: 0.854 0.157 0.659  4.72
Ce: 0.547 0.335 0.394  0.10
Ce: 0.373 0.976 0.599  -0.16
Ce: 0.047 0.835 0.106  0.10
Ce: 0.042 0.554 0.386  0.09
Ce: 0.127 0.524 0.099  -0.16
Ce: 0.453 0.665 0.606  0.10
Ce: 0.958 0.446 0.614  0.09
Ce: 0.445 0.291 0.733  0.02
Ce: 0.458 0.946 0.886  0.09
Ce: 0.873 0.476 0.901  -0.16
Ce: 0.627 0.024 0.401  -0.16
Ce: 0.945 0.791 0.767  0.02
Ce: 0.555 0.709 0.267  0.02
Ce: 0.055 0.209 0.233  0.02
Ce: 0.953 0.165 0.894  0.10
Ce: 0.542 0.054 0.114  0.09
Tc: 0.083 0.167 0.448  -0.19
Tc: 0.583 0.667 0.052  -0.19
Tc: 0.417 0.333 0.948  -0.19
Tc: 0.917 0.833 0.552  -0.19

Summary:
Its symmetry is No. 14. The total energy comes out at -8.047 eV/atom.

Record 2
## CePuTlTc (PBE)

Data for crystalline CePuTlTc at its relaxed geometry.

a b c (Å): 3.296 3.296 8.805
angles (deg): 90.00 90.00 90.00
Last column: magnetic moment on the atom in μB.
Element x y z (fractional)
Tl: 0.000 0.000 0.076  -0.02
Tc: 0.000 0.000 0.568  -0.52
Ce: 0.500 0.500 0.773  0.34
Pu: 0.500 0.500 0.368  5.11

Summary:
Its symmetry is No. 99. The total energy comes out at -8.318 eV/atom.

Record 3
## CePuUTc (PBE)

Data for crystalline CePuUTc at its relaxed geometry.

a b c (Å): 4.930 4.930 4.930
angles (deg): 60.00 60.00 60.00
Last column: magnetic moment on the atom in μB.
Element x y z (fractional)
Pu: 0.750 0.750 0.750  5.29
Tc: 0.250 0.250 0.250  -0.17
U: 0.000 0.000 0.000  2.06
Ce: 0.500 0.500 0.500  0.65

Summary:
Its symmetry is No. 216. The total energy comes out at -10.325 eV/atom.

Record 4
## CePuZnTc (PBE)

Data for crystalline CePuZnTc at its relaxed geometry.

a b c (Å): 4.931 4.931 4.931
angles (deg): 60.00 60.00 60.00
Last column: magnetic moment on the atom in μB.
Element x y z (fractional)
Zn: 0.000 0.000 0.000  0.04
Ce: 0.250 0.250 0.250  0.44
Tc: 0.500 0.500 0.500  -0.54
Pu: 0.750 0.750 0.750  5.16

Summary:
Its symmetry is No. 216. The total energy comes out at -7.978 eV/atom.

Record 5
## CePuTe (PBE)

Data for crystalline CePuTe at its relaxed geometry.

a b c (Å): 4.172 4.172 5.503
angles (deg): 112.28 112.28 90.00
Last column: magnetic moment on the atom in μB.
Element x y z (fractional)
Pu: 0.309 0.309 0.618  5.45
Ce: 0.023 0.023 0.047  0.82
Te: 0.667 0.667 0.335  -0.06

Summary:
Its formation energy (no corrections) is -677.3 meV per atom. Its symmetry is No. 107. The total energy comes out at -8.480 eV/atom.

Record 6
## CePu2Te4 (PBE)

Data for crystalline CePu2Te4 at its relaxed geometry.

a b c (Å): 4.374 7.562 15.061
angles (deg): 90.00 90.00 106.81
Last column: magnetic moment on the atom in μB.
Element x y z (fractional)
Te: 0.224 0.449 0.625  -0.09
Te: 0.041 0.082 0.250  -0.08
Te: 0.776 0.551 0.125  -0.09
Te: 0.959 0.918 0.750  -0.08
Te: 0.776 0.551 0.375  -0.09
Te: 0.500 0.000 0.000  -0.11
Te: 0.500 0.000 0.500  -0.11
Te: 0.224 0.449 0.875  -0.09
Pu: 0.135 0.270 0.435  5.37
Pu: 0.865 0.730 0.565  5.37
Pu: 0.865 0.730 0.935  5.37
Pu: 0.135 0.270 0.065  5.37
Ce: 0.383 0.765 0.250  1.02
Ce: 0.617 0.235 0.750  1.02

Summary:
Its formation energy (no corrections) is -1145.7 meV per atom. Its symmetry is No. 63. The total energy comes out at -7.883 eV/atom.

Record 7
## CePuTe2 (PBE)

Data for crystalline CePuTe2 at its relaxed geometry.

a b c (Å): 5.424 5.424 5.424
angles (deg): 60.00 60.00 60.00
Last column: magnetic moment on the atom in μB.
Element x y z (fractional)
Te: 0.750 0.750 0.750  -0.09
Te: 0.250 0.250 0.250  -0.09
Ce: 0.500 0.500 0.500  1.26
Pu: 0.000 0.000 0.000  5.70

Summary:
Its formation energy (no corrections) is -1135.5 meV per atom. Its symmetry is No. 225. The total energy comes out at -7.773 eV/atom.

Record 8
## CePuTe2 (PBE)

Data for crystalline CePuTe2 at its relaxed geometry.

a b c (Å): 4.383 4.383 15.202
angles (deg): 90.00 90.00 120.00
Last column: magnetic moment on the atom in μB.
Element x y z (fractional)
Pu: 0.000 0.000 0.500  5.52
Pu: 0.000 0.000 0.000  5.52
Te: 0.333 0.667 0.120  -0.06
Te: 0.333 0.667 0.380  -0.06
Te: 0.667 0.333 0.620  -0.06
Te: 0.667 0.333 0.880  -0.06
Ce: 0.333 0.667 0.750  1.07
Ce: 0.667 0.333 0.250  1.07

Summary:
Its formation energy (no corrections) is -1189.1 meV per atom. Its symmetry is No. 194. The total energy comes out at -7.826 eV/atom.

Record 9
## CePu5Te6 (PBE)

Data for crystalline CePu5Te6 at its relaxed geometry.

a b c (Å): 7.717 7.718 7.715
angles (deg): 59.99 80.42 70.57
Last column: magnetic moment on the atom in μB.
Element x y z (fractional)
Pu: 0.500 0.835 0.330  5.54
Pu: 0.000 0.333 0.334  5.54
Pu: 0.500 0.500 0.000  5.54
Pu: 0.500 0.165 0.670  5.54
Pu: 0.000 0.667 0.666  5.54
Te: 0.253 0.578 0.337  -0.07
Te: 0.747 0.422 0.663  -0.07
Te: 0.253 0.915 0.663  -0.07
Te: 0.749 0.746 0.000  -0.07
Te: 0.251 0.254 0.000  -0.07
Te: 0.747 0.085 0.337  -0.07
Ce: 0.000 0.000 0.000  -0.73

Summary:
Its formation energy (no corrections) is -1120.2 meV per atom. Its symmetry is No. 12. The total energy comes out at -9.157 eV/atom.

Record 10
## CePu3Te4 (PBE)

Data for crystalline CePu3Te4 at its relaxed geometry.

a b c (Å): 4.454 7.722 7.722
angles (deg): 109.44 90.00 90.00
Last column: magnetic moment on the atom in μB.
Element x y z (fractional)
Te: 0.500 0.252 0.748  -0.08
Te: 0.000 0.254 0.254  -0.07
Te: 0.000 0.746 0.746  -0.07
Te: 0.500 0.748 0.252  -0.08
Pu: 0.000 0.000 0.500  5.55
Pu: 0.000 0.500 0.000  5.55
Pu: 0.500 0.500 0.500  5.53
Ce: 0.500 0.000 0.000  1.07

Summary:
Its formation energy (no corrections) is -1158.4 meV per atom. Its symmetry is No. 65. The total energy comes out at -8.845 eV/atom.

Record 11
## Ce2Pu2Te5 (PBE)

Data for crystalline Ce2Pu2Te5 at its relaxed geometry.

a b c (Å): 8.419 8.933 8.933
angles (deg): 124.27 90.00 90.00
Last column: magnetic moment on the atom in μB.
Element x y z (fractional)
Te: 0.345 0.981 0.700  -0.07
Te: 0.500 0.500 0.500  -0.07
Te: 0.345 0.700 0.981  -0.07
Te: 0.845 0.800 0.519  -0.07
Te: 0.655 0.019 0.300  -0.07
Te: 0.155 0.200 0.481  -0.07
Te: 0.845 0.519 0.800  -0.07
Te: 0.000 0.000 0.000  -0.07
Te: 0.155 0.481 0.200  -0.07
Te: 0.655 0.300 0.019  -0.07
Ce: 0.649 0.853 0.853  1.10
Ce: 0.851 0.353 0.353  1.10
Ce: 0.149 0.647 0.647  1.10
Ce: 0.351 0.147 0.147  1.10
Pu: 0.000 0.804 0.196  5.51
Pu: 0.000 0.196 0.804  5.51
Pu: 0.500 0.304 0.696  5.51
Pu: 0.500 0.696 0.304  5.51

Summary:
Its formation energy (no corrections) is -1228.3 meV per atom. Its symmetry is No. 64. The total energy comes out at -7.477 eV/atom.

Record 12
## CePu2Te3 (PBE)

Data for crystalline CePu2Te3 at its relaxed geometry.

a b c (Å): 4.472 6.315 7.728
angles (deg): 114.12 106.82 90.00
Last column: magnetic moment on the atom in μB.
Element x y z (fractional)
Te: 0.000 0.000 0.000  -0.07
Te: 0.330 0.330 0.660  -0.07
Te: 0.670 0.670 0.340  -0.07
Ce: 0.000 0.500 0.000  1.07
Pu: 0.334 0.834 0.669  5.54
Pu: 0.666 0.166 0.331  5.54

Summary:
Its formation energy (no corrections) is -1180.6 meV per atom. Its symmetry is No. 71. The total energy comes out at -8.518 eV/atom.

What is the formula in the third record?
CePuUTc

Please write out number 4 again, unchanged.
## CePuZnTc (PBE)

Data for crystalline CePuZnTc at its relaxed geometry.

a b c (Å): 4.931 4.931 4.931
angles (deg): 60.00 60.00 60.00
Last column: magnetic moment on the atom in μB.
Element x y z (fractional)
Zn: 0.000 0.000 0.000  0.04
Ce: 0.250 0.250 0.250  0.44
Tc: 0.500 0.500 0.500  -0.54
Pu: 0.750 0.750 0.750  5.16

Summary:
Its symmetry is No. 216. The total energy comes out at -7.978 eV/atom.

Number 1 is which compound?
Ce4PuTc